*a*
## Ta2AlAu2 (PBE)

Data for a relaxed structure of Ta2AlAu2.

Cell: 7.2912 7.2912 7.2912 Å, 150.01 150.01 42.92°
Last column: nearest neighbours and their distance in Å.
Element x y z (fractional)
Ta  0.2500  0.7500  0.5000  4 Ta 2.67, 4 Au 2.82
Au  0.5959  0.5959  0.0000  1 Au 2.60, 4 Ta 2.82
Al  0.0000  0.0000  0.0000  8 Au 2.97
Au  0.4041  0.4041  0.0000  1 Au 2.60, 4 Ta 2.82
Ta  0.7500  0.2500  0.5000  4 Ta 2.67, 4 Au 2.82

Properties
For the magnetization, the calculation gives 0.01 μB/cell. As for the crystal system: tetragonal. For the volume, the calculation gives 19.32 Å³ per atom.

***

*b*
## Ta2AlAu2 (PBE)

Data for a relaxed structure of Ta2AlAu2.

Cell: 7.1637 7.1637 7.1637 Å, 148.94 148.94 44.50°
Last column: nearest neighbours and their distance in Å.
Element x y z (fractional)
Ta  0.4063  0.4063  0.0000  1 Ta 2.49
Au  0.7500  0.2500  0.5000  4 Au 2.71, 4 Ta 2.82
Ta  0.5937  0.5937  0.0000  1 Ta 2.49
Al  0.0000  0.0000  0.0000  8 Ta 2.98
Au  0.2500  0.7500  0.5000  4 Au 2.71, 4 Ta 2.82

Properties
For the magnetization, the calculation gives 0.59 μB/cell. As for the crystal system: tetragonal. For the volume, the calculation gives 19.51 Å³ per atom.

***

Energies in eV/atom, measured from the most stable structure: *a* 0.000; *b* 0.170.